(1)
RbCoTeI2 | PBE | optimized geometry

Results
Energy above the lowest structure with this stoichiometry = 29.97 kcal/mol of atoms
Energy relative to the elements, uncorrected = 0.971 eV/atom
Spin magnetization = 5.06 μB per formula unit
Final energy = -1.89 eV/atom
Calculated volume = 63.68 Å³ per atom

a = 6.878 Å, b = 6.878 Å, c = 6.730 Å
α = 90.00°, β = 90.00°, γ = 90.00°
Space group P4/mmm (No. 123)
Asymmetric unit:
1 Rb 0.000 0.000 0.000 (multiplicity 1)
2 Co 0.500 0.500 0.500 (multiplicity 1)
3 Te 0.000 0.000 0.500 (multiplicity 1)
4 I 0.000 0.500 0.000 (multiplicity 2)

(2)
K2TcMo | PBE | optimized geometry

Results
Energy above the lowest structure with this stoichiometry = 14.66 kcal/mol of atoms
Spin magnetization = 0.00 μB per formula unit
Final energy = -4.43 eV/atom
Calculated volume = 21.46 Å³ per atom
E_form = 1.42 eV/atom

a = 2.694 Å, b = 6.066 Å, c = 5.414 Å
α = 90.00°, β = 104.02°, γ = 90.00°
Space group P2/m (No. 10)
Asymmetric unit:
1 K 0.024 0.000 0.253 (multiplicity 2)
2 Tc 0.500 0.500 0.500 (multiplicity 1)
3 Mo 0.500 0.500 0.000 (multiplicity 1)

(3)
Ca3MgTl | PBE | optimized geometry

Results
Energy above the lowest structure with this stoichiometry = 0.00 kcal/mol of atoms
Spin magnetization = 0.00 μB per formula unit
Final energy = -2.22 eV/atom
Calculated volume = 32.06 Å³ per atom
E_form = -0.23 eV/atom

a = 5.515 Å, b = 21.079 Å, c = 5.516 Å
α = 90.00°, β = 90.00°, γ = 90.00°
Space group Cmcm (No. 63)
Asymmetric unit:
1 Ca 0.000 0.066 0.250 (multiplicity 4)
2 Ca 0.000 0.250 0.250 (multiplicity 4)
3 Ca 0.000 0.432 0.250 (multiplicity 4)
4 Mg 0.000 0.157 0.750 (multiplicity 4)
5 Tl 0.000 0.343 0.750 (multiplicity 4)